Record 1
Entry from Alexandria via LeMat-Bulk: CaV3Te after structural relaxation (PBE).

extended XYZ file:
```
5
Lattice="-3.575 2.313 -1.664 -2.203 -3.937 -0.739 -1.807 0.224 4.193" Properties=species:S:1:pos:R:3 pbc="T T T"
Te -3.793 -0.700 0.895
Ca 0.000 0.000 0.000
V -0.904 0.112 2.097
V -1.788 1.156 -0.832
V -1.102 -1.969 -0.369
```

**E above lowest polymorph**: 1.044 eV/atom

---

Record 2
Entry from Alexandria via LeMat-Bulk: CaV3Te after structural relaxation (PBE).

extended XYZ file:
```
5
Lattice="5.079 0.000 0.000 0.000 5.079 0.000 0.000 0.000 5.079" Properties=species:S:1:pos:R:3 pbc="T T T"
Ca 2.539 2.539 2.539
V 0.000 2.539 0.000
V 0.000 0.000 2.539
Te 0.000 0.000 0.000
V 2.539 0.000 0.000
```

**E above lowest polymorph**: 0.000 eV/atom

---

Record 3
Entry from Alexandria via LeMat-Bulk: CaV2Te after structural relaxation (PBE).

extended XYZ file:
```
8
Lattice="-0.962 3.928 -1.628 -0.139 -1.698 -4.013 -10.216 -0.781 -1.685" Properties=species:S:1:pos:R:3 pbc="T T T"
V -8.051 0.536 -2.703
V -3.334 2.709 -2.215
V -8.509 2.777 -2.862
V -3.561 2.501 -4.487
Ca -0.550 1.115 -2.821
Te -5.864 2.131 -3.067
Ca -5.452 -0.682 -4.259
Te 0.000 0.000 0.000
```

**Energy**: -43.89 eV per cell

---

Record 4
Entry from Alexandria via LeMat-Bulk: CaVTe2W after structural relaxation (PBE).

extended XYZ file:
```
5
Lattice="-0.832 -3.841 -3.662 -2.177 -2.446 3.060 -4.621 2.347 -1.411" Properties=species:S:1:pos:R:3 pbc="T T T"
Te -0.416 -1.920 -1.831
Ca -3.815 -1.970 -1.007
W -1.088 -1.223 1.530
V 0.000 0.000 0.000
Te -2.311 1.173 -0.706
```

**Energy**: -27.94 eV per cell

---

Record 5
Entry from Alexandria via LeMat-Bulk: CaVTeW2 after structural relaxation (PBE).

extended XYZ file:
```
5
Lattice="4.621 0.000 0.000 0.000 5.354 0.000 0.000 0.000 4.621" Properties=species:S:1:pos:R:3 pbc="T T T"
W 0.000 0.000 2.310
Te 0.000 2.677 0.000
Ca 2.310 2.677 2.310
W 2.310 0.000 0.000
V 0.000 0.000 0.000
```

**Energy**: -34.49 eV per cell

---

Record 6
Entry from Alexandria via LeMat-Bulk: CaTeW2 after structural relaxation (PBE).

extended XYZ file:
```
4
Lattice="-4.615 0.186 -1.315 1.084 -2.332 -4.055 1.202 -1.899 4.244" Properties=species:S:1:pos:R:3 pbc="T T T"
Te -2.589 -1.393 0.122
Ca -0.564 -2.972 1.559
W 0.260 -2.652 -1.248
W 0.000 0.000 0.000
```

**E above lowest polymorph**: 0.444 eV/atom

---

Record 7
Entry from Alexandria via LeMat-Bulk: CaTe2W after structural relaxation (PBE).

extended XYZ file:
```
4
Lattice="-2.469 -2.750 -0.990 2.494 -1.307 -2.590 2.743 -4.170 4.745" Properties=species:S:1:pos:R:3 pbc="T T T"
Te 2.517 -3.827 4.355
Ca 2.116 -5.226 1.849
Te 0.907 -3.388 -0.243
W 1.342 -2.041 2.322
```

**E above lowest polymorph**: 0.206 eV/atom

---

Record 8
Entry from Alexandria via LeMat-Bulk: CaTe2W after structural relaxation (PBE).

extended XYZ file:
```
4
Lattice="7.039 0.065 0.040 5.694 4.140 0.040 5.694 1.880 3.688" Properties=species:S:1:pos:R:3 pbc="T T T"
Te 18.168 5.999 3.716
W 4.607 1.521 0.942
Ca 13.820 4.563 2.826
Te 9.473 3.128 1.937
```

**E above lowest polymorph**: 0.000 eV/atom

---

Record 9
Entry from Alexandria via LeMat-Bulk: CaTe2W after structural relaxation (PBE).

extended XYZ file:
```
4
Lattice="-2.493 2.353 -0.801 -1.491 -2.916 -3.921 -3.284 -2.437 3.061" Properties=species:S:1:pos:R:3 pbc="T T T"
Te 0.000 0.000 0.000
Ca -2.889 -0.042 1.130
Te -2.388 -2.676 -0.430
W -1.992 -0.281 -2.361
```

**E above lowest polymorph**: 0.277 eV/atom

---

Record 10
Entry from Alexandria via LeMat-Bulk: CaTeW2 after structural relaxation (PBE).

extended XYZ file:
```
4
Lattice="4.770 0.000 -0.001 -2.394 5.801 0.030 -0.017 0.824 3.010" Properties=species:S:1:pos:R:3 pbc="T T T"
Ca -1.206 3.312 1.520
Te 1.188 2.900 0.015
W 2.376 0.412 1.504
W 0.000 0.000 0.000
```

**E above lowest polymorph**: 0.510 eV/atom

---

Record 11
Entry from Alexandria via LeMat-Bulk: CaTeW3 after structural relaxation (PBE).

extended XYZ file:
```
5
Lattice="4.967 0.000 0.000 0.000 4.967 0.000 0.000 0.000 4.967" Properties=species:S:1:pos:R:3 pbc="T T T"
W 0.000 0.000 2.483
W 2.483 0.000 0.000
Te 0.000 0.000 0.000
Ca 2.483 2.483 2.483
W 0.000 2.483 0.000
```

**E above lowest polymorph**: 0.000 eV/atom

---

Record 12
Entry from Alexandria via LeMat-Bulk: CaTeW2 after structural relaxation (PBE).

extended XYZ file:
```
4
Lattice="4.622 -0.001 0.001 3.376 3.156 0.001 1.099 0.433 6.441" Properties=species:S:1:pos:R:3 pbc="T T T"
W 7.968 3.143 0.227
Ca 4.572 1.803 3.144
W 2.322 0.916 1.049
Te 6.781 2.675 5.248
```

**E above lowest polymorph**: 0.182 eV/atom

---

| no. | theoretical density (g/cm³) |
| --- | --- |
| 1 | 5.57 |
| 2 | 4.06 |
| 3 | 4.75 |
| 4 | 6.81 |
| 5 | 8.52 |
| 6 | 11.33 |
| 7 | 7.89 |
| 8 | 7.57 |
| 9 | 8.66 |
| 10 | 10.69 |
| 11 | 9.75 |
| 12 | 9.46 |